Record 1
A plane-wave DFT calculation with PBE was carried out for a relaxed YB2SO crystal.

```
YB2SO
1.0
3.545 0.000 0.000
0.000 5.662 0.000
0.000 0.000 3.545
S O B Y
1 1 2 1
Cartesian
0.000 0.000 0.000
0.000 2.831 0.000
1.772 0.000 0.000
0.000 0.000 1.772
1.772 2.831 1.772
```

Its density of states at the Fermi level is 1.77 states/eV/f.u. Its symmetry is P4/mmm, No. 123. The calculation puts the calculated total energy at -28.17 eV/f.u.


Record 2
A plane-wave DFT calculation with PBE was carried out for a relaxed B2SbO6 crystal.

```
B2SbO6
1.0
5.102 0.000 0.000
-2.551 4.417 -0.082
0.000 0.156 5.736
Sb O B
1 6 2
Cartesian
0.000 0.000 0.000
-1.186 3.766 4.485
2.551 2.862 1.128
3.737 0.808 1.170
1.365 0.808 1.170
1.186 3.766 4.485
0.000 1.712 4.527
2.551 1.491 1.093
0.000 3.082 4.561
```

Its density of states at the Fermi level is 4.99 states/eV/f.u. Its symmetry is C2/m, No. 12. The calculation puts the calculated total energy at -62.00 eV/f.u.


Record 3
A plane-wave DFT calculation with PBE was carried out for a relaxed B2SbO crystal.

```
B2SbO
1.0
-0.700 4.312 -0.668
-3.128 -0.025 3.121
1.507 3.232 4.665
B O Sb
4 2 2
Cartesian
-1.735 1.757 2.968
-0.383 3.074 1.205
-1.911 6.177 5.337
-0.614 4.029 4.727
-1.914 2.143 1.227
-1.768 2.675 4.506
0.000 0.000 0.000
-0.554 4.844 2.612
```

Its density of states at the Fermi level is 0.91 states/eV/f.u. Its symmetry is I-42d, No. 122. As for the offset from the most stable computed form: 0 meV per atom.


Record 4
A plane-wave DFT calculation with PBE was carried out for a relaxed BSb2O crystal.

```
BSb2O
1.0
0.000 3.106 3.106
3.106 0.000 3.106
3.106 3.106 0.000
Sb B O
2 1 1
Cartesian
4.659 4.659 4.659
1.553 1.553 1.553
0.000 0.000 0.000
3.106 3.106 3.106
```

Its density of states at the Fermi level is 2.21 states/eV/f.u. Its symmetry is Fm-3m, No. 225. As for the offset from the most stable computed form: 368 meV per atom.


Record 5
A plane-wave DFT calculation with PBE was carried out for a relaxed BSbO2 crystal.

```
BSbO2
1.0
-1.041 -1.369 3.639
-2.719 -2.948 0.339
1.151 -3.674 1.173
B O Sb
1 2 1
Cartesian
0.000 0.000 0.000
-1.956 -5.993 3.863
-0.652 -1.998 1.288
-1.304 -3.995 2.575
```

Its density of states at the Fermi level is 0.73 states/eV/f.u. Its symmetry is Fm-3m, No. 225. As for the offset from the most stable computed form: 1683 meV per atom.


Record 6
A plane-wave DFT calculation with PBE was carried out for a relaxed B3SbO crystal.

```
B3SbO
1.0
-1.933 -3.250 0.489
0.972 -1.108 -3.516
3.139 -1.658 1.390
O B Sb
1 3 1
Cartesian
0.000 0.000 0.000
0.486 -0.554 -1.758
-0.967 -1.625 0.245
1.570 -0.829 0.695
1.089 -3.008 -0.819
```

Its density of states at the Fermi level is 4.17 states/eV/f.u. Its symmetry is Pm-3m, No. 221. As for the offset from the most stable computed form: 0 meV per atom.


Record 7
A plane-wave DFT calculation with PBE was carried out for a relaxed BSbO2 crystal.

```
BSbO2
1.0
3.431 -1.888 5.706
5.365 -2.804 3.353
5.385 0.219 4.342
B O Sb
1 2 1
Cartesian
0.000 0.000 0.000
0.898 -0.283 0.848
13.283 -4.190 12.553
7.091 -2.237 6.701
```

Its density of states at the Fermi level is 0.88 states/eV/f.u. Its symmetry is R-3m, No. 166. As for the offset from the most stable computed form: 20 meV per atom.


Record 8
A plane-wave DFT calculation with PBE was carried out for a relaxed BSb2O crystal.

```
BSb2O
1.0
-2.927 -4.222 -0.833
0.028 -1.026 5.102
-6.211 0.546 2.798
B Sb O
2 4 2
Cartesian
-3.816 -1.552 5.017
-1.450 -2.624 2.134
-7.195 -4.183 5.835
-3.380 -2.632 0.816
-1.900 -1.031 3.784
-5.745 -1.558 3.698
-5.294 -3.150 2.050
0.000 0.000 0.000
```

Its density of states at the Fermi level is 1.59 states/eV/f.u. Its symmetry is I-42d, No. 122. As for the offset from the most stable computed form: 0 meV per atom.


Record 9
A plane-wave DFT calculation with PBE was carried out for a relaxed BSbO2 crystal.

```
BSbO2
1.0
4.935 0.000 0.000
0.000 4.935 0.000
2.468 2.468 3.504
O Sb B
4 2 2
Cartesian
2.468 3.701 0.876
3.701 4.935 2.628
6.169 4.935 2.628
2.468 1.234 0.876
4.935 2.468 1.752
0.000 0.000 0.000
2.468 4.935 1.752
2.468 2.468 0.000
```

Its density of states at the Fermi level is 1.32 states/eV/f.u. Its symmetry is I4_1/amd, No. 141. As for the offset from the most stable computed form: 0 meV per atom.


Record 10
A plane-wave DFT calculation with PBE was carried out for a relaxed B2SbO crystal.

```
B2SbO
1.0
0.000 2.883 2.883
2.883 0.000 2.883
2.883 2.883 0.000
Sb B O
1 2 1
Cartesian
2.883 2.883 2.883
4.324 4.324 4.324
1.441 1.441 1.441
0.000 0.000 0.000
```

Its density of states at the Fermi level is 3.07 states/eV/f.u. Its symmetry is Fm-3m, No. 225. As for the offset from the most stable computed form: 1057 meV per atom.


Record 11
A plane-wave DFT calculation with PBE was carried out for a relaxed B3SbO crystal.

```
B3SbO
1.0
4.471 0.000 0.000
0.000 4.471 0.000
0.000 0.000 4.471
Sb B O
1 3 1
Cartesian
0.000 0.000 0.000
0.000 0.000 2.235
2.235 0.000 0.000
0.000 2.235 0.000
2.235 2.235 2.235
```

Its density of states at the Fermi level is 2.61 states/eV/f.u. Its symmetry is Pm-3m, No. 221. As for the offset from the most stable computed form: 867 meV per atom.


Record 12
A plane-wave DFT calculation with PBE was carried out for a relaxed ScBSbO2 crystal.

```
ScBSbO2
1.0
-2.523 -2.890 0.517
3.093 -2.278 2.358
-1.251 1.674 3.258
Sb Sc B O
1 1 1 2
Cartesian
1.546 -1.139 1.179
-0.340 -1.747 3.066
0.000 0.000 0.000
-0.625 0.837 1.629
-1.261 -1.445 0.258
```

Its density of states at the Fermi level is 3.11 states/eV/f.u. Its symmetry is P4/mmm, No. 123. The calculation puts the calculated total energy at -27.42 eV/f.u.


Record 13
A plane-wave DFT calculation with PBE was carried out for a relaxed SrB2SbO6 crystal.

```
SrB2SbO6
1.0
-3.967 2.343 4.552
3.363 -3.851 3.976
4.142 4.983 -0.869
O B Sb Sr
12 4 2 2
Cartesian
0.523 1.096 2.342
-1.469 3.297 3.110
-2.295 2.107 5.395
3.277 3.010 1.854
0.261 0.464 5.806
2.772 0.304 2.933
3.015 2.378 5.318
5.007 0.178 4.550
5.833 1.368 2.264
1.352 -1.565 4.952
2.186 5.040 2.707
0.766 3.171 4.727
1.849 3.080 5.567
2.375 4.056 1.767
1.689 0.395 2.093
1.163 -0.581 5.893
4.099 1.890 3.511
-0.561 1.585 4.149
-0.022 5.371 3.835
3.560 -1.896 3.825
```

Its density of states at the Fermi level is 2.38 states/eV/f.u. Its symmetry is C2/c, No. 15. The calculation puts the calculated total energy at -71.11 eV/f.u.


Record 14
A plane-wave DFT calculation with PBE was carried out for a relaxed SrB2SbO8 crystal.

```
SrB2SbO8
1.0
4.791 0.000 0.000
-2.395 4.149 0.000
0.000 0.000 7.178
O Sb B Sr
8 1 2 1
Cartesian
2.934 2.690 2.340
-0.539 1.459 4.838
2.395 1.383 0.493
0.000 2.766 6.685
3.258 0.263 2.340
-0.862 3.886 4.838
1.401 2.953 4.838
0.994 1.196 2.340
0.000 0.000 3.589
0.000 2.766 5.198
2.395 1.383 1.981
0.000 0.000 0.000
```

Its density of states at the Fermi level is 7.55 states/eV/f.u. Its symmetry is P-3, No. 147. The calculation puts the calculated total energy at -78.90 eV/f.u.


Record 15
A plane-wave DFT calculation with PBE was carried out for a relaxed TcB2SbO crystal.

```
TcB2SbO
1.0
-1.274 -3.465 0.815
3.413 -1.732 -2.029
1.949 0.046 3.240
B O Tc Sb
2 1 1 1
Cartesian
0.974 0.023 1.620
-0.637 -1.733 0.408
0.000 0.000 0.000
2.044 -2.576 1.013
1.706 -0.866 -1.014
```

Its density of states at the Fermi level is 3.32 states/eV/f.u. Its symmetry is P4/mmm, No. 123. The calculation puts the calculated total energy at -26.36 eV/f.u.


Record 16
A plane-wave DFT calculation with PBE was carried out for a relaxed BSbTe2O crystal.

```
BSbTe2O
1.0
4.830 0.000 0.000
0.000 4.830 0.000
0.000 0.000 4.713
Sb Te B O
1 2 1 1
Cartesian
0.000 0.000 2.357
2.415 0.000 0.000
0.000 2.415 0.000
2.415 2.415 2.357
0.000 0.000 0.000
```

Its density of states at the Fermi level is 3.25 states/eV/f.u. Its symmetry is P4/mmm, No. 123. As for the offset from the most stable computed form: 0 meV per atom.


Record 17
A plane-wave DFT calculation with PBE was carried out for a relaxed Tl2B2SbO6 crystal.

```
Tl2B2SbO6
1.0
5.302 0.000 0.000
-2.651 4.587 -0.181
0.000 -2.777 7.223
O Tl Sb B
6 2 1 2
Cartesian
1.450 2.414 4.789
-1.450 2.414 4.789
1.201 -0.604 2.252
4.101 -0.604 2.252
2.651 0.336 4.871
0.000 1.474 2.170
0.000 0.240 6.066
2.651 1.570 0.976
2.651 -1.389 3.611
0.000 0.092 2.306
2.651 1.718 4.736
```

Its density of states at the Fermi level is 2.38 states/eV/f.u. Its symmetry is R-3m, No. 166. The calculation puts the calculated total energy at -69.55 eV/f.u.


Record 18
A plane-wave DFT calculation with PBE was carried out for a relaxed TlBSbO2 crystal.

```
TlBSbO2
1.0
3.958 0.000 0.000
0.000 4.631 0.000
0.000 0.000 3.958
Tl O Sb B
1 2 1 1
Cartesian
1.979 2.315 1.979
0.000 0.000 1.979
1.979 0.000 0.000
0.000 2.315 0.000
0.000 0.000 0.000
```

Its density of states at the Fermi level is 3.13 states/eV/f.u. Its symmetry is P4/mmm, No. 123. The calculation puts the calculated total energy at -20.77 eV/f.u.


Record 19
A plane-wave DFT calculation with PBE was carried out for a relaxed UB2SbO8 crystal.

```
UB2SbO8
1.0
-1.584 -2.611 -4.051
1.255 -2.447 4.263
-6.370 0.506 2.166
O U Sb B
8 1 1 2
Cartesian
-5.044 -3.312 2.602
-1.655 -1.240 -0.224
-2.892 -2.247 2.580
-1.812 -3.637 -0.124
-3.807 -2.305 -0.202
-2.406 -2.477 -2.144
-4.888 -0.915 2.502
-4.293 -2.075 4.522
0.000 0.000 0.000
-3.185 0.253 1.083
-2.459 -2.412 -0.660
-4.240 -2.140 3.038
```

Its density of states at the Fermi level is 4.12 states/eV/f.u. Its symmetry is P-3m1, No. 164. The calculation puts the calculated total energy at -92.02 eV/f.u.


Record 20
A plane-wave DFT calculation with PBE was carried out for a relaxed ScB3O crystal.

```
ScB3O
1.0
3.711 0.000 0.000
0.000 3.711 0.000
0.000 0.000 3.711
B Sc O
3 1 1
Cartesian
0.000 0.000 1.855
0.000 1.855 0.000
1.855 0.000 0.000
1.855 1.855 1.855
0.000 0.000 0.000
```

Its density of states at the Fermi level is 4.31 states/eV/f.u. Its symmetry is Pm-3m, No. 221. As for the offset from the most stable computed form: 0 meV per atom.